Ca2LaGd: optimized geometry, PBE.

```
Ca2LaGd
1.0
4.1871 0.0000 0.0000
0.0000 4.1871 0.0000
0.0000 0.0000 8.6358
Ca La Gd
2 1 1
Cartesian
0.0000 0.0000 2.0960 Ca
0.0000 0.0000 6.5399 Ca
2.0935 2.0935 4.3179 La
2.0935 2.0935 0.0000 Gd
```

Properties
Its total moment is 7.4 Bohr magnetons per cell. The value obtained for the density is 4127 kg/m3. The value obtained for the energy relative to the elements is 0.13 eV/atom.


ScNi3H: optimized geometry, PBE.

```
ScNi3H
1.0
4.4934 -5.4952 0.0000
4.4934 5.4952 0.0000
0.0000 0.0000 4.4377
Sc Ni H
4 12 4
Cartesian
3.4298 3.4745 0.0000 Sc
5.5569 3.4745 2.2189 Sc
3.4298 -3.4745 2.2189 Sc
5.5569 -3.4745 0.0000 Sc
1.1061 0.6430 2.2189 Ni
1.1061 -0.6430 0.0000 Ni
3.2918 1.9594 2.2189 Ni
3.5039 0.6750 0.0000 Ni
3.5039 -0.6750 2.2189 Ni
5.6949 1.9594 0.0000 Ni
3.2918 -1.9594 0.0000 Ni
5.4828 0.6750 2.2189 Ni
5.4828 -0.6750 0.0000 Ni
5.6949 -1.9594 2.2189 Ni
7.8806 0.6430 0.0000 Ni
7.8806 -0.6430 2.2189 Ni
2.3211 0.0000 1.1094 H
2.3211 0.0000 3.3283 H
6.6656 0.0000 1.1094 H
6.6656 0.0000 3.3283 H
```

Properties
Its total moment is 0.0 Bohr magnetons per cell. The value obtained for the density is 6730 kg/m3. The final energy comes out at -5.597 eV per atom.


SrRhCl: optimized geometry, PBE.

```
SrRhCl
1.0
4.3553 0.0000 0.0000
-2.1777 3.7718 0.0000
0.0000 0.0000 3.9341
Sr Rh Cl
1 1 1
Cartesian
0.0000 0.0000 0.0000 Sr
0.0000 2.5145 1.9671 Rh
2.1777 1.2573 1.9671 Cl
```

Properties
Its total moment is 0.0 Bohr magnetons per cell. The value obtained for the density is 5806 kg/m3. Its formation energy without anion corrections is -0.64 eV per atom.


TbCe2Cu: optimized geometry, PBE.

```
TbCe2Cu
1.0
3.6114 0.0000 0.0000
0.0000 3.6114 0.0000
0.0000 0.0000 8.0760
Tb Ce Cu
1 2 1
Cartesian
0.0000 0.0000 0.0000 Tb
1.8057 1.8057 2.4861 Ce
1.8057 1.8057 5.5899 Ce
0.0000 0.0000 4.0380 Cu
```

Properties
Its total moment is 0.0 Bohr magnetons per cell. The value obtained for the density is 7925 kg/m3. The value obtained for the energy relative to the elements is 0.06 eV/atom.


Hf2VRe: optimized geometry, PBE.

```
Hf2VRe
1.0
-1.4303 2.4288 5.3798
1.4303 -2.4288 5.3798
1.4303 2.4288 -5.3798
Hf V Re
2 1 1
Cartesian
0.0000 0.0000 2.6842 Hf
0.0000 0.0000 8.0754 Hf
0.0000 0.0000 5.3798 V
0.0000 0.0000 0.0000 Re
```

Properties
Its total moment is 0.0 Bohr magnetons per cell. The value obtained for the density is 13197 kg/m3. The value obtained for the energy relative to the elements is 0.70 eV/atom.


ErSO: optimized geometry, PBE.

```
ErSO
1.0
6.5257 0.0000 0.0000
-3.2629 5.6515 0.0000
0.0000 0.0000 3.7658
Er S O
3 3 3
Cartesian
0.0000 0.0000 0.0000 Er
0.0000 3.7676 1.8829 Er
3.2629 1.8838 1.8829 Er
-1.9069 3.3028 0.0000 S
1.3560 2.3487 0.0000 S
3.8137 0.0000 0.0000 S
-0.8362 1.4484 1.8829 O
1.6725 0.0000 1.8829 O
2.4266 4.2030 1.8829 O
```

Properties
Its total moment is 0.0 Bohr magnetons per cell. The value obtained for the density is 7724 kg/m3. Its formation energy without anion corrections is -1.96 eV per atom.


LiLa2Zn2O6: optimized geometry, PBE.

```
LiLa2Zn2O6
1.0
2.9356 1.6949 5.4515
-2.9356 1.6949 5.4515
0.0000 -3.3897 5.4515
Li La Zn O
1 2 2 6
Cartesian
0.0000 0.0000 0.0000 Li
0.0000 0.0000 3.2530 La
0.0000 0.0000 13.1017 La
0.0000 0.0000 6.8493 Zn
0.0000 0.0000 9.5053 Zn
-1.6030 -0.9255 9.3753 O
0.0000 -1.8510 6.9793 O
-1.6030 0.9255 6.9793 O
1.6030 -0.9255 9.3753 O
0.0000 1.8510 9.3753 O
1.6030 0.9255 6.9793 O
```

Properties
Its total moment is 0.7 Bohr magnetons per cell. The value obtained for the density is 5220 kg/m3. Its formation energy without anion corrections is -1.94 eV per atom.


TaP2WCl: optimized geometry, PBE.

```
TaP2WCl
1.0
4.7410 0.0000 0.0000
0.0000 4.7410 0.0000
0.0000 0.0000 4.5900
Ta P W Cl
1 2 1 1
Cartesian
0.0000 0.0000 0.0000 Ta
0.0000 2.3705 2.2950 P
2.3705 0.0000 2.2950 P
2.3705 2.3705 2.2950 W
2.3705 2.3705 0.0000 Cl
```

Properties
Its total moment is 3.1 Bohr magnetons per cell. The value obtained for the density is 7439 kg/m3. Its formation energy without anion corrections is 1.08 eV per atom.